No. 1
# CoIrPt2, optimized geometry, DFT GGA-PBE
# formation energy: 0.28 eV/atom
data_CoIrPt2
_chemical_formula_sum 'Co4 Ir4 Pt8'
_symmetry_space_group_name_H-M 'F -4 3 m'
_symmetry_Int_Tables_number 216
_symmetry_space_group_name_Hall 'F -4 2 3'
_cell_length_a 6.1760
_cell_length_b 6.1760
_cell_length_c 6.1760
_cell_angle_alpha 90.00
_cell_angle_beta 90.00
_cell_angle_gamma 90.00
loop_
_atom_site_label
_atom_site_fract_x
_atom_site_fract_y
_atom_site_fract_z
_atom_site_occupancy
Co1 0.0000 0.0000 0.0000 1
Ir1 0.2500 0.2500 0.2500 1
Pt1 0.0000 0.0000 0.5000 1
Pt2 0.2500 0.2500 0.7500 1

---

No. 2
# AcZr, optimized geometry, DFT GGA-PBE
# formation energy: 0.42 eV/atom
data_AcZr
_chemical_formula_sum 'Ac1 Zr1'
_symmetry_space_group_name_H-M 'P -6 m 2'
_symmetry_Int_Tables_number 187
_symmetry_space_group_name_Hall 'P -6 2'
_cell_length_a 3.5497
_cell_length_b 3.5497
_cell_length_c 5.7678
_cell_angle_alpha 90.00
_cell_angle_beta 90.00
_cell_angle_gamma 120.00
loop_
_atom_site_label
_atom_site_fract_x
_atom_site_fract_y
_atom_site_fract_z
_atom_site_occupancy
Ac1 0.0000 0.0000 0.0000 1
Zr1 0.6667 0.3333 0.5000 1

---

No. 3
# RbScHgSe3, optimized geometry, DFT GGA-PBE
# total energy: -4.103 eV/atom
data_RbScHgSe3
_chemical_formula_sum 'Rb2 Sc2 Hg2 Se6'
_symmetry_space_group_name_H-M 'P 1 21/m 1'
_symmetry_Int_Tables_number 11
_cell_length_a 8.7619
_cell_length_b 4.1236
_cell_length_c 10.4138
_cell_angle_alpha 90.00
_cell_angle_beta 110.54
_cell_angle_gamma 90.00
loop_
_symmetry_equiv_pos_as_xyz
'x,y,z'
'-x,-y,-z'
'-x,y+1/2,-z'
'x,-y+1/2,z'
loop_
_atom_site_label
_atom_site_fract_x
_atom_site_fract_y
_atom_site_fract_z
_atom_site_occupancy
Rb1 0.2364 0.2500 0.2609 1
Sc1 0.3307 0.7500 0.8708 1
Hg1 0.0830 0.2500 0.6173 1
Se1 0.1152 0.2500 0.8758 1
Se2 0.2550 0.7500 0.5645 1
Se3 0.4677 0.7500 0.1401 1

---

No. 4
# Ta4Nb2Cu3C3, optimized geometry, DFT GGA-PBE
# total energy: -9.098 eV/atom
data_Ta4Nb2Cu3C3
_chemical_formula_sum 'Ta16 Nb8 Cu12 C12'
_symmetry_space_group_name_H-M 'C 1 2/c 1'
_symmetry_Int_Tables_number 15
_cell_length_a 9.3710
_cell_length_b 5.3783
_cell_length_c 13.7994
_cell_angle_alpha 90.00
_cell_angle_beta 103.24
_cell_angle_gamma 90.00
loop_
_symmetry_equiv_pos_as_xyz
'x,y,z'
'-x,-y,-z'
'-x,y,-z+1/2'
'x,-y,z+1/2'
'x+1/2,y+1/2,z'
'-x+1/2,-y+1/2,-z'
'-x+1/2,y+1/2,-z+1/2'
'x+1/2,-y+1/2,z+1/2'
loop_
_atom_site_label
_atom_site_fract_x
_atom_site_fract_y
_atom_site_fract_z
_atom_site_occupancy
Ta1 0.1129 0.0883 0.0876 1
Ta2 0.2219 0.0817 0.4122 1
Nb1 0.0467 0.4205 0.8988 1
Cu1 0.0000 0.0342 0.2500 1
Cu2 0.2179 0.3686 0.2505 1
C1 0.0825 0.2529 0.5007 1
C2 0.2500 0.2500 0.0000 1

---

No. 5
# GdMgAuSe3, optimized geometry, DFT GGA-PBE
# total energy: -4.373 eV/atom
data_GdMgAuSe3
_chemical_formula_sum 'Gd4 Mg4 Au4 Se12'
_symmetry_space_group_name_H-M 'C m c m'
_symmetry_Int_Tables_number 63
_symmetry_space_group_name_Hall '-C 2c 2'
_cell_length_a 3.8813
_cell_length_b 13.3093
_cell_length_c 10.7044
_cell_angle_alpha 90.00
_cell_angle_beta 90.00
_cell_angle_gamma 90.00
loop_
_atom_site_label
_atom_site_fract_x
_atom_site_fract_y
_atom_site_fract_z
_atom_site_occupancy
Gd1 0.0000 0.0000 0.0000 1
Mg1 0.0000 0.2219 0.2500 1
Au1 0.0000 0.4772 0.7500 1
Se1 0.0000 0.1167 0.7500 1
Se2 0.0000 0.3469 0.5688 1

---

No. 6
# ZnAgSeO, optimized geometry, DFT GGA-PBE
# total energy: -3.556 eV/atom
data_ZnAgSeO
_chemical_formula_sum 'Zn4 Ag4 Se4 O4'
_symmetry_space_group_name_H-M 'C m c 21'
_symmetry_Int_Tables_number 36
_cell_length_a 3.1354
_cell_length_b 14.2561
_cell_length_c 6.0921
_cell_angle_alpha 90.00
_cell_angle_beta 90.00
_cell_angle_gamma 90.00
loop_
_symmetry_equiv_pos_as_xyz
'x,y,z'
'-x,-y,z+1/2'
'-x,y,z'
'x,-y,z+1/2'
'x+1/2,y+1/2,z'
'-x+1/2,-y+1/2,z+1/2'
'-x+1/2,y+1/2,z'
'x+1/2,-y+1/2,z+1/2'
loop_
_atom_site_label
_atom_site_fract_x
_atom_site_fract_y
_atom_site_fract_z
_atom_site_occupancy
Zn1 0.0000 0.1732 0.0000 1
Ag1 0.0000 0.4659 0.0863 1
Se1 0.0000 0.1771 0.4121 1
O1 0.0000 0.4004 0.4148 1

---

No. 7
# CuMo4C3, optimized geometry, DFT GGA-PBE
# total energy: -9.204 eV/atom
data_CuMo4C3
_chemical_formula_sum 'Cu2 Mo8 C6'
_symmetry_space_group_name_H-M 'P 63/m m c'
_symmetry_Int_Tables_number 194
_symmetry_space_group_name_Hall '-P 6c 2c'
_cell_length_a 3.1123
_cell_length_b 3.1123
_cell_length_c 22.7254
_cell_angle_alpha 90.00
_cell_angle_beta 90.00
_cell_angle_gamma 120.00
loop_
_atom_site_label
_atom_site_fract_x
_atom_site_fract_y
_atom_site_fract_z
_atom_site_occupancy
Cu1 0.3333 0.6667 0.2500 1
Mo1 0.0000 0.0000 0.1576 1
Mo2 0.3333 0.6667 0.0584 1
C1 0.0000 0.0000 0.0000 1
C2 0.3333 0.6667 0.6141 1

---

No. 8
# Nb2NiIr, optimized geometry, DFT GGA-PBE
# formation energy: -0.17 eV/atom
data_Nb2NiIr
_chemical_formula_sum 'Nb8 Ni4 Ir4'
_symmetry_space_group_name_H-M 'F -4 3 m'
_symmetry_Int_Tables_number 216
_symmetry_space_group_name_Hall 'F -4 2 3'
_cell_length_a 6.2552
_cell_length_b 6.2552
_cell_length_c 6.2552
_cell_angle_alpha 90.00
_cell_angle_beta 90.00
_cell_angle_gamma 90.00
loop_
_atom_site_label
_atom_site_fract_x
_atom_site_fract_y
_atom_site_fract_z
_atom_site_occupancy
Nb1 0.0000 0.0000 0.0000 1
Nb2 0.2500 0.2500 0.2500 1
Ni1 0.0000 0.0000 0.5000 1
Ir1 0.2500 0.2500 0.7500 1

---

no.,calculated density (Mg/m³)
1,18.1
2,8.4
3,5.4
4,11.1
5,7.4
6,6.5
7,8.4
8,11.9